BaAlCu4O7 after structural relaxation, computed with GGA-PBE.

Formation energy from raw total energies: -1.255 eV per atom
Density: 5.72 g/cm3
Uncorrected energy: -146.13 eV for the cell shown

```
data_BaAlCu4O7
_cell_length_a 6.0115
_cell_length_b 6.0115
_cell_length_c 9.8352
_cell_angle_alpha 90.00
_cell_angle_beta 90.00
_cell_angle_gamma 120.00
_symmetry_space_group_name_H-M 'P 63 m c'
_symmetry_Int_Tables_number 186
_symmetry_space_group_name_Hall 'P 6c -2c'
loop_
_atom_site_label
_atom_site_type_symbol
_atom_site_fract_x
_atom_site_fract_y
_atom_site_fract_z
Ba1 Ba 0.3333 0.6667 0.0000
Al1 Al 0.3333 0.6667 0.3701
Cu1 Cu 0.0000 0.0000 0.4297
Cu2 Cu 0.1798 0.3597 0.6839
O1 O 0.0000 0.0000 0.2315
O2 O 0.0382 0.5191 0.2507
O3 O 0.1796 0.3593 0.4810
```